Record 1
A relaxed AsPBr2N crystal, computed with GGA-PBE.

Values from the calculation:
The offset from the most stable computed form comes out at 640.0 meV per atom. For the density of states at the Fermi level, the calculation gives 0.34 states/eV per cell. Its crystal system is tetragonal. The calculation puts the formation energy without anion corrections at 1315 meV/atom. The value obtained for the total energy is -3.0311 eV per atom.

a b c (Å): 5.180 5.180 4.985
angles (deg): 90.00 90.00 90.00
Space group P4/mmm (No. 123)
Asymmetric unit:
1 As 0.000 0.000 0.000 x1
2 P 0.000 0.000 0.500 x1
3 Br 0.000 0.500 0.500 x2
4 N 0.500 0.500 0.000 x1

=====

Record 2
A relaxed Ba2Ca2TbTi3Cu2O14 crystal, computed with GGA-PBE.

Values from the calculation:
For the density of states at the Fermi level, the calculation gives 9.68 states/eV per cell. Its crystal system is tetragonal. The calculation puts the formation energy without anion corrections at -2612 meV/atom. The value obtained for the total energy is -7.3526 eV per atom.

a b c (Å): 3.911 3.911 19.671
angles (deg): 90.00 90.00 90.00
Space group P4/mmm (No. 123)
Asymmetric unit:
1 Ba 0.000 0.000 0.194 x2
2 Ca 0.000 0.000 0.400 x2
3 Tb 0.000 0.000 0.000 x1
4 Ti 0.500 0.500 0.301 x2
5 Ti 0.500 0.500 0.500 x1
6 Cu 0.500 0.500 0.090 x2
7 O 0.000 0.500 0.072 x4
8 O 0.000 0.500 0.306 x4
9 O 0.000 0.500 0.500 x2
10 O 0.500 0.500 0.203 x2
11 O 0.500 0.500 0.402 x2

=====

Record 3
A relaxed NiSe crystal, computed with GGA-PBE.

Values from the calculation:
For the density of states at the Fermi level, the calculation gives 2.38 states/eV per cell. Its crystal system is tetragonal. The calculation puts the formation energy without anion corrections at -149 meV/atom. The value obtained for the total energy is -4.7819 eV per atom.

a b c (Å): 3.235 3.235 6.397
angles (deg): 90.00 90.00 90.00
Space group I4mm (No. 107)
Asymmetric unit:
1 Ni 0.000 0.000 0.000 x2
2 Se 0.000 0.000 0.372 x2

=====

Record 4
A relaxed Hf2Sn2W crystal, computed with GGA-PBE.

Values from the calculation:
For the density of states at the Fermi level, the calculation gives 1.00 states/eV per cell. Its crystal system is tetragonal. The value obtained for the total energy is -8.1679 eV per atom.

a b c (Å): 7.205 7.205 3.999
angles (deg): 90.00 90.00 90.00
Space group P4/mbm (No. 127)
Asymmetric unit:
1 Hf 0.168 0.332 0.000 x4
2 Sn 0.139 0.639 0.500 x4
3 W 0.000 0.000 0.500 x2

=====

Record 5
A relaxed Y6Te3AsPt2 crystal, computed with GGA-PBE.

Values from the calculation:
For the density of states at the Fermi level, the calculation gives 12.19 states/eV per cell. Its crystal system is monoclinic. The calculation puts the formation energy without anion corrections at -1327 meV/atom. The value obtained for the total energy is -6.7386 eV per atom.

a b c (Å): 7.231 12.577 7.636
angles (deg): 90.00 108.67 90.00
Space group C2/m (No. 12)
Asymmetric unit:
1 Y 0.232 0.000 0.216 x4
2 Y 0.241 0.330 0.217 x8
3 Te 0.000 0.000 0.500 x2
4 Te 0.000 0.337 0.500 x4
5 As 0.000 0.500 0.000 x2
6 Pt 0.000 0.167 0.000 x4

=====

Record 6
A relaxed CaMg2In2Hg2 crystal, computed with GGA-PBE.

Values from the calculation:
For the density of states at the Fermi level, the calculation gives 10.64 states/eV per cell. Its crystal system is trigonal. The value obtained for the total energy is -1.8113 eV per atom.

a b c (Å): 4.8612 4.8612 25.7693
angles (deg): 90.00 90.00 120.00
Space group R-3m (No. 166, hexagonal axes)
Asymmetric unit:
1 Ca 0.0000 0.0000 0.0000 x3
2 Mg 0.0000 0.0000 0.1379 x6
3 In 0.0000 0.0000 0.2639 x6
4 Hg 0.0000 0.0000 0.4329 x6

=====

Record 7
A relaxed KSrLiTl crystal, computed with GGA-PBE.

Values from the calculation:
For the density of states at the Fermi level, the calculation gives 19.59 states/eV per cell. Its crystal system is cubic. The value obtained for the total energy is -1.7864 eV per atom.

a b c (Å): 8.398 8.398 8.398
angles (deg): 90.00 90.00 90.00
Space group F-43m (No. 216)
Asymmetric unit:
1 K 0.000 0.000 0.000 x4
2 Sr 0.000 0.000 0.500 x4
3 Li 0.250 0.250 0.250 x4
4 Tl 0.250 0.250 0.750 x4

=====

Record 8
A relaxed IrOs2Ru6 crystal, computed with GGA-PBE.

Values from the calculation:
For the density of states at the Fermi level, the calculation gives 33.47 states/eV per cell. Its crystal system is monoclinic. The value obtained for the total energy is -9.3564 eV per atom.

a b c (Å): 9.115 11.550 5.072
angles (deg): 90.00 98.85 90.00
Space group C2/c (No. 15)
Asymmetric unit:
1 Ir 0.000 0.082 0.250 x4
2 Os 0.133 0.482 0.382 x8
3 Ru 0.047 0.308 0.013 x8
4 Ru 0.151 0.116 0.814 x8
5 Ru 0.246 0.324 0.697 x8

=====

Spin magnetization in μB per formula unit, matching the order above: 1.32; 0.00; 0.00; 0.00; 0.00; 0.00; 0.00; 0.00